No. 1
SrAgSb: relaxed, PBE.

Cell: 4.8129 4.8129 9.4274 Å, 104.83 104.83 59.99°
Fractional coordinates of all 6 atoms:
1 Sr 0.0000 0.0000 0.0000
2 Sr 0.1631 0.1631 0.4883
3 Ag 0.2759 0.2759 0.8281
4 Ag 0.7510 0.7510 0.2527
5 Sb 0.4119 0.4119 0.2352
6 Sb 0.5842 0.5842 0.7531

Summary:
As for the uncorrected formation energy: -0.6589 eV per atom. The value obtained for the density of states at the Fermi level is 0.02 states/eV per atom. As for the space group: Cm (8).

=====

No. 2
Mg2InTe: relaxed, PBE.

Cell: 3.1207 5.8231 5.8196 Å, 90.00 90.05 90.00°
Fractional coordinates of all 4 atoms:
1 Mg 0.0000 0.0000 0.0000
2 Mg 0.0028 0.5000 0.5017
3 In 0.5161 0.5000 0.0005
4 Te 0.0982 0.0000 0.4996

Summary:
As for the uncorrected formation energy: -0.1321 eV per atom. The calculation puts the relative energy among the computed polymorphs at 0.1492 eV per atom. The value obtained for the density of states at the Fermi level is 0.43 states/eV per atom. As for the space group: Pm (6).

=====

No. 3
Sc3Ni2Os: relaxed, PBE.

Cell: 7.1560 7.1560 6.3311 Å, 90.00 90.00 143.08°
Fractional coordinates of all 12 atoms:
1 Sc 0.0000 0.0000 0.2496
2 Sc 0.0000 0.0000 0.7504
3 Sc 0.3330 0.6670 0.2502
4 Sc 0.3330 0.6670 0.7498
5 Sc 0.6670 0.3330 0.2502
6 Sc 0.6670 0.3330 0.7498
7 Ni 0.1661 0.8339 0.0000
8 Ni 0.5000 0.5000 0.0000
9 Ni 0.5000 0.5000 0.5000
10 Ni 0.8339 0.1661 0.0000
11 Os 0.1651 0.8349 0.5000
12 Os 0.8349 0.1651 0.5000

Summary:
The value obtained for the density of states at the Fermi level is 0.61 states/eV per atom. As for the space group: Cmmm (65). The value obtained for the calculated formation energy is -0.50 eV per atom.

=====

Number 1: magnetization 0.000 μB per atom. Number 2: magnetization 0.000 μB per atom. Number 3: magnetization 0.000 μB per atom.